DFT (PBE-GGA) results for Rb3LuO3 after structural relaxation.

Structure (POSCAR):
```
Rb3LuO3
1.0
7.371 0.000 0.000
0.000 7.772 -0.010
0.000 0.868 11.770
O Rb Lu
12 12 4
Cartesian
4.797 2.786 11.204 O
7.000 5.627 2.296 O
0.371 3.013 9.464 O
4.057 6.061 8.182 O
3.302 1.394 6.932 O
0.384 0.960 1.047 O
6.260 2.353 5.319 O
1.112 6.287 6.442 O
2.574 5.853 0.557 O
3.314 2.579 3.579 O
4.070 7.245 4.828 O
6.987 7.679 10.713 O
6.195 5.382 4.942 Rb
2.789 1.271 9.905 Rb
6.475 7.802 7.740 Rb
2.509 2.823 0.933 Rb
4.862 5.816 10.828 Rb
1.176 3.257 6.818 Rb
5.964 3.106 2.217 Rb
2.278 5.100 3.658 Rb
5.093 3.539 8.102 Rb
0.896 0.837 4.020 Rb
1.408 5.534 9.543 Rb
4.582 7.368 1.855 Rb
0.655 6.606 0.806 Lu
6.717 2.033 10.955 Lu
3.031 7.040 6.691 Lu
4.340 1.599 5.069 Lu
```

Results
N(E_F) = 0.00 states/eV/cell
Formation energy without anion corrections = -1973 meV per atom